P | ## Sr2ZnGe (PBE-GGA)

Data for a geometry-optimized Sr2ZnGe structure.

The structure in POSCAR format:
```
Sr2ZnGe
1.0
6.540 0.000 0.000
0.000 4.501 0.000
-2.965 0.000 8.243
Sr Zn Ge
4 2 2
direct
0.210 0.250 0.425
0.222 0.250 0.933
0.778 0.750 0.067
0.790 0.750 0.575
0.381 0.750 0.223
0.619 0.250 0.777
0.362 0.750 0.715
0.638 0.250 0.285
```

Crystal system ... monoclinic
Density of states at the Fermi level ... 2.242 states/eV per cell
Symmetry ... No. 11

Q | ## Sr2ZnGe (PBE-GGA)

Data for a geometry-optimized Sr2ZnGe structure.

The structure in POSCAR format:
```
Sr2ZnGe
1.0
5.499 0.000 0.000
0.000 5.499 0.000
0.000 0.000 3.848
Sr Zn Ge
2 1 1
direct
0.000 0.500 0.000
0.500 0.000 0.000
0.000 0.000 0.500
0.500 0.500 0.500
```

Crystal system ... tetragonal
Density of states at the Fermi level ... 1.456 states/eV per cell
Symmetry ... No. 123

R | ## Sr2ZnGe (PBE-GGA)

Data for a geometry-optimized Sr2ZnGe structure.

The structure in POSCAR format:
```
Sr2ZnGe
1.0
0.000 3.868 3.868
3.868 0.000 3.868
3.868 3.868 0.000
Sr Zn Ge
2 1 1
direct
0.250 0.250 0.250
0.750 0.750 0.750
0.000 0.000 0.000
0.500 0.500 0.500
```

Crystal system ... cubic
Density of states at the Fermi level ... 0.043 states/eV per cell
Symmetry ... No. 225

S | ## Sr2ZnGe (PBE-GGA)

Data for a geometry-optimized Sr2ZnGe structure.

The structure in POSCAR format:
```
Sr2ZnGe
1.0
-2.893 2.893 9.412
2.893 -2.893 9.412
2.893 2.893 -9.412
Sr Zn Ge
4 2 2
direct
0.111 0.625 0.986
0.375 0.361 0.486
0.639 0.125 0.014
0.875 0.889 0.514
0.250 0.750 0.500
0.500 0.500 0.000
0.000 0.000 0.000
0.750 0.250 0.500
```

Crystal system ... tetragonal
Density of states at the Fermi level ... 6.914 states/eV per cell
Symmetry ... No. 122

Least stable = S

P | ## SrZn3Ge (PBE-GGA)

Data for a geometry-optimized SrZn3Ge structure.

The structure in POSCAR format:
```
SrZn3Ge
1.0
5.010 0.000 0.000
0.000 5.010 0.000
0.000 0.000 5.010
Sr Zn Ge
1 3 1
direct
0.000 0.000 0.000
0.000 0.500 0.500
0.500 0.000 0.500
0.500 0.500 0.000
0.500 0.500 0.500
```

Crystal system ... cubic
Density of states at the Fermi level ... 3.061 states/eV per cell
Symmetry ... No. 221

Q | ## SrZn3Ge (PBE-GGA)

Data for a geometry-optimized SrZn3Ge structure.

The structure in POSCAR format:
```
SrZn3Ge
1.0
5.697 0.000 0.000
0.000 5.697 0.000
0.000 0.000 5.697
Sr Zn Ge
1 3 1
direct
0.000 0.000 0.000
0.000 0.000 0.500
0.000 0.500 0.000
0.500 0.000 0.000
0.500 0.500 0.500
```

Crystal system ... cubic
Density of states at the Fermi level ... 5.970 states/eV per cell
Symmetry ... No. 221

R | ## SrZn3Ge (PBE-GGA)

Data for a geometry-optimized SrZn3Ge structure.

The structure in POSCAR format:
```
SrZn3Ge
1.0
11.478 -2.112 0.000
11.478 2.112 0.000
-0.774 0.000 4.320
Sr Zn Ge
2 6 2
direct
0.091 0.091 0.331
0.909 0.909 0.669
0.207 0.207 0.910
0.288 0.288 0.541
0.474 0.474 0.227
0.526 0.526 0.773
0.712 0.712 0.459
0.793 0.793 0.090
0.357 0.357 0.115
0.643 0.643 0.885
```

Crystal system ... monoclinic
Density of states at the Fermi level ... 3.931 states/eV per cell
Symmetry ... No. 12

Least stable = Q

P | ## Sr3ZnGe (PBE-GGA)

Data for a geometry-optimized Sr3ZnGe structure.

The structure in POSCAR format:
```
Sr3ZnGe
1.0
6.094 0.000 0.000
0.000 6.094 0.000
0.000 0.000 6.094
Sr Zn Ge
3 1 1
direct
0.000 0.000 0.500
0.000 0.500 0.000
0.500 0.000 0.000
0.500 0.500 0.500
0.000 0.000 0.000
```

Crystal system ... cubic
Density of states at the Fermi level ... 4.624 states/eV per cell
Symmetry ... No. 221

Q | ## Sr3ZnGe (PBE-GGA)

Data for a geometry-optimized Sr3ZnGe structure.

The structure in POSCAR format:
```
Sr3ZnGe
1.0
8.859 -2.032 0.000
8.859 2.032 0.000
-0.755 0.000 9.637
Sr Zn Ge
6 2 2
direct
0.000 0.000 0.000
0.150 0.150 0.589
0.356 0.356 0.755
0.507 0.507 0.344
0.707 0.707 0.004
0.800 0.800 0.341
0.539 0.539 0.733
0.967 0.967 0.611
0.142 0.142 0.251
0.365 0.365 0.093
```

Crystal system ... monoclinic
Density of states at the Fermi level ... 5.685 states/eV per cell
Symmetry ... No. 8

Least stable = P

P | ## Sr3ZrGe (PBE-GGA)

Data for a geometry-optimized Sr3ZrGe structure.

The structure in POSCAR format:
```
Sr3ZrGe
1.0
5.981 0.000 0.000
0.000 5.981 0.000
0.000 0.000 5.981
Sr Zr Ge
3 1 1
direct
0.000 0.000 0.500
0.000 0.500 0.000
0.500 0.000 0.000
0.000 0.000 0.000
0.500 0.500 0.500
```

Crystal system ... cubic
Density of states at the Fermi level ... 7.975 states/eV per cell
Symmetry ... No. 221

Q | ## Sr3ZrGe (PBE-GGA)

Data for a geometry-optimized Sr3ZrGe structure.

The structure in POSCAR format:
```
Sr3ZrGe
1.0
6.035 0.000 0.000
0.000 6.035 0.000
0.000 0.000 6.035
Sr Zr Ge
3 1 1
direct
0.000 0.000 0.500
0.000 0.500 0.000
0.500 0.000 0.000
0.500 0.500 0.500
0.000 0.000 0.000
```

Crystal system ... cubic
Density of states at the Fermi level ... 7.222 states/eV per cell
Symmetry ... No. 221

Least stable = P

P | ## Ta5Ge3 (PBE-GGA)

Data for a geometry-optimized Ta5Ge3 structure.

The structure in POSCAR format:
```
Ta5Ge3
1.0
7.659 0.000 0.000
-3.830 6.633 0.000
0.000 0.000 5.332
Ta Ge
10 6
direct
0.000 0.238 0.250
0.000 0.762 0.750
0.238 0.000 0.250
0.238 0.238 0.750
0.333 0.667 0.000
0.333 0.667 0.500
0.667 0.333 0.000
0.667 0.333 0.500
0.762 0.000 0.750
0.762 0.762 0.250
0.000 0.396 0.750
0.000 0.604 0.250
0.396 0.000 0.750
0.396 0.396 0.250
0.604 0.000 0.250
0.604 0.604 0.750
```

Crystal system ... hexagonal
Density of states at the Fermi level ... 15.822 states/eV per cell
Symmetry ... No. 193

Q | ## Ta5Ge3 (PBE-GGA)

Data for a geometry-optimized Ta5Ge3 structure.

The structure in POSCAR format:
```
Ta5Ge3
1.0
-5.084 5.084 2.599
5.084 -5.084 2.599
5.084 5.084 -2.599
Ta Ge
10 6
direct
0.074 0.777 0.851
0.223 0.074 0.298
0.250 0.750 0.500
0.277 0.574 0.851
0.426 0.277 0.702
0.574 0.723 0.298
0.723 0.426 0.149
0.750 0.250 0.500
0.777 0.926 0.702
0.926 0.223 0.149
0.167 0.333 0.500
0.250 0.250 0.000
0.333 0.833 0.166
0.667 0.167 0.834
0.750 0.750 0.000
0.833 0.667 0.500
```

Crystal system ... tetragonal
Density of states at the Fermi level ... 10.244 states/eV per cell
Symmetry ... No. 140

R | ## Ta5Ge3 (PBE-GGA)

Data for a geometry-optimized Ta5Ge3 structure.

The structure in POSCAR format:
```
Ta5Ge3
1.0
-3.334 3.334 6.056
3.334 -3.334 6.056
3.334 3.334 -6.056
Ta Ge
10 6
direct
0.000 0.000 0.000
0.006 0.506 0.821
0.185 0.006 0.500
0.315 0.815 0.821
0.494 0.315 0.500
0.500 0.500 0.000
0.506 0.685 0.500
0.685 0.185 0.179
0.815 0.994 0.500
0.994 0.494 0.179
0.136 0.364 0.500
0.250 0.250 0.000
0.364 0.864 0.227
0.636 0.136 0.773
0.750 0.750 0.000
0.864 0.636 0.500
```

Crystal system ... tetragonal
Density of states at the Fermi level ... 4.849 states/eV per cell
Symmetry ... No. 140

Least stable = P

P | ## Ta3TcGe (PBE-GGA)

Data for a geometry-optimized Ta3TcGe structure.

The structure in POSCAR format:
```
Ta3TcGe
1.0
4.676 0.000 0.000
0.000 4.676 0.000
0.000 0.000 4.676
Ta Tc Ge
3 1 1
direct
0.000 0.000 0.500
0.000 0.500 0.000
0.500 0.000 0.000
0.500 0.500 0.500
0.000 0.000 0.000
```

Crystal system ... cubic
Density of states at the Fermi level ... 6.102 states/eV per cell
Symmetry ... No. 221

Q | ## Ta3TcGe (PBE-GGA)

Data for a geometry-optimized Ta3TcGe structure.

The structure in POSCAR format:
```
Ta3TcGe
1.0
4.801 0.000 0.000
0.000 4.801 0.000
0.000 0.000 4.801
Ta Tc Ge
3 1 1
direct
0.000 0.000 0.500
0.000 0.500 0.000
0.500 0.000 0.000
0.000 0.000 0.000
0.500 0.500 0.500
```

Crystal system ... cubic
Density of states at the Fermi level ... 2.494 states/eV per cell
Symmetry ... No. 221

Least stable = P

P | ## TaTcGe3 (PBE-GGA)

Data for a geometry-optimized TaTcGe3 structure.

The structure in POSCAR format:
```
TaTcGe3
1.0
4.748 0.000 0.000
0.000 4.748 0.000
0.000 0.000 4.748
Ta Tc Ge
1 1 3
direct
0.000 0.000 0.000
0.500 0.500 0.500
0.000 0.500 0.500
0.500 0.000 0.500
0.500 0.500 0.000
```

Crystal system ... cubic
Density of states at the Fermi level ... 8.214 states/eV per cell
Symmetry ... No. 221

Q | ## TaTcGe3 (PBE-GGA)

Data for a geometry-optimized TaTcGe3 structure.

The structure in POSCAR format:
```
TaTcGe3
1.0
4.970 0.000 0.000
0.000 4.970 0.000
0.000 0.000 4.970
Ta Tc Ge
1 1 3
direct
0.000 0.000 0.000
0.500 0.500 0.500
0.000 0.000 0.500
0.000 0.500 0.000
0.500 0.000 0.000
```

Crystal system ... cubic
Density of states at the Fermi level ... 6.381 states/eV per cell
Symmetry ... No. 221

Least stable = Q

P | ## TaGe2Te2 (PBE-GGA)

Data for a geometry-optimized TaGe2Te2 structure.

The structure in POSCAR format:
```
TaGe2Te2
1.0
7.618 0.000 0.000
0.000 7.618 0.000
0.000 0.000 4.114
Ta Ge Te
2 4 4
direct
0.000 0.000 0.000
0.500 0.500 0.000
0.156 0.344 0.500
0.344 0.844 0.500
0.656 0.156 0.500
0.844 0.656 0.500
0.164 0.664 0.000
0.336 0.164 0.000
0.664 0.836 0.000
0.836 0.336 0.000
```

Crystal system ... tetragonal
Density of states at the Fermi level ... 9.128 states/eV per cell
Symmetry ... No. 127

Q | ## TaGe2Te2 (PBE-GGA)

Data for a geometry-optimized TaGe2Te2 structure.

The structure in POSCAR format:
```
TaGe2Te2
1.0
-1.782 1.782 9.253
1.782 -1.782 9.253
1.782 1.782 -9.253
Ta Ge Te
1 2 2
direct
0.000 0.000 0.000
0.250 0.750 0.500
0.750 0.250 0.500
0.413 0.413 0.000
0.587 0.587 0.000
```

Crystal system ... tetragonal
Density of states at the Fermi level ... 2.513 states/eV per cell
Symmetry ... No. 139

Least stable = P

P | ## Ta2GeTe (PBE-GGA)

Data for a geometry-optimized Ta2GeTe structure.

The structure in POSCAR format:
```
Ta2GeTe
1.0
-2.070 2.070 9.624
2.070 -2.070 9.624
2.070 2.070 -9.624
Ta Ge Te
4 2 2
direct
0.115 0.625 0.990
0.375 0.365 0.490
0.635 0.125 0.010
0.875 0.885 0.510
0.000 0.000 0.000
0.750 0.250 0.500
0.250 0.750 0.500
0.500 0.500 0.000
```

Crystal system ... tetragonal
Density of states at the Fermi level ... 3.616 states/eV per cell
Symmetry ... No. 122

Q | ## Ta2GeTe (PBE-GGA)

Data for a geometry-optimized Ta2GeTe structure.

The structure in POSCAR format:
```
Ta2GeTe
1.0
0.000 3.327 3.327
3.327 0.000 3.327
3.327 3.327 0.000
Ta Ge Te
2 1 1
direct
0.250 0.250 0.250
0.750 0.750 0.750
0.000 0.000 0.000
0.500 0.500 0.500
```

Crystal system ... cubic
Density of states at the Fermi level ... 1.235 states/eV per cell
Symmetry ... No. 225

Least stable = P

P | ## ThTa4Ge2 (PBE-GGA)

Data for a geometry-optimized ThTa4Ge2 structure.

The structure in POSCAR format:
```
ThTa4Ge2
1.0
1.848 -8.467 0.000
1.848 8.467 0.000
0.000 0.000 4.434
Th Ta Ge
1 4 2
direct
0.000 0.000 0.000
0.185 0.815 0.500
0.321 0.679 0.000
0.679 0.321 0.000
0.815 0.185 0.500
0.425 0.575 0.500
0.575 0.425 0.500
```

Crystal system ... orthorhombic
Density of states at the Fermi level ... 4.893 states/eV per cell
Symmetry ... No. 65

Q | ## ThTa4Ge2 (PBE-GGA)

Data for a geometry-optimized ThTa4Ge2 structure.

The structure in POSCAR format:
```
ThTa4Ge2
1.0
2.239 -8.390 0.000
2.239 8.390 0.000
0.000 0.000 3.681
Th Ta Ge
1 4 2
direct
0.000 0.000 0.000
0.176 0.824 0.500
0.312 0.688 0.000
0.688 0.312 0.000
0.824 0.176 0.500
0.424 0.576 0.500
0.576 0.424 0.500
```

Crystal system ... orthorhombic
Density of states at the Fermi level ... 4.791 states/eV per cell
Symmetry ... No. 65

Least stable = P

P | ## TaTi3Ge (PBE-GGA)

Data for a geometry-optimized TaTi3Ge structure.

The structure in POSCAR format:
```
TaTi3Ge
1.0
4.647 0.000 0.000
0.000 4.647 0.000
0.000 0.000 4.647
Ta Ti Ge
1 3 1
direct
0.000 0.000 0.000
0.000 0.500 0.500
0.500 0.000 0.500
0.500 0.500 0.000
0.500 0.500 0.500
```

Crystal system ... cubic
Density of states at the Fermi level ... 12.501 states/eV per cell
Symmetry ... No. 221

Q | ## TaTi3Ge (PBE-GGA)

Data for a geometry-optimized TaTi3Ge structure.

The structure in POSCAR format:
```
TaTi3Ge
1.0
4.795 0.000 0.000
0.000 4.795 0.000
0.000 0.000 4.795
Ta Ti Ge
1 3 1
direct
0.000 0.000 0.000
0.000 0.000 0.500
0.000 0.500 0.000
0.500 0.000 0.000
0.500 0.500 0.500
```

Crystal system ... cubic
Density of states at the Fermi level ... 7.173 states/eV per cell
Symmetry ... No. 221

Least stable = Q